DFT (SCAN) results for BaLiHg at its PBEsol-relaxed geometry.

Summary:
The electronic total energy is -37.10 eV/atom. As for the formation energy: -9.2 kcal/mol of atoms.

a b c (Å): 3.951 3.951 6.287
angles (deg): 108.32 108.32 90.00
Fractional positions:
Hg 0.304 0.304 0.607
Li 0.706 0.706 0.412
Ba 0.990 0.990 0.980